1.
This record from Alexandria via LeMat-Bulk describes an optimized crystal structure of LaSmCI. The functional is PBE.

Structure (extended XYZ):
```
4
Lattice="1.942 1.121 7.871 -1.942 1.121 7.871 0.000 -2.242 7.871" Properties=species:S:1:pos:R:3 pbc="T T T"
La 0.000 0.000 0.000
Sm 0.000 0.000 5.133
C 0.000 0.000 14.299
I 0.000 0.000 18.421
```

Calculated values
space group = R3m
calculated volume = 103 Å³/cell
total magnetic moment = 0.00 μB/f.u.
final energy = -5.819 eV per atom
ΔE_f (raw) = -0.714 eV per atom
DOS at the Fermi energy = 0.59 states/eV per atom

2.
This record from Alexandria via LeMat-Bulk describes an optimized crystal structure of LaSnCI2. The functional is PBE.

Structure (extended XYZ):
```
5
Lattice="5.202 0.000 0.000 0.000 5.202 0.000 0.000 0.000 5.177" Properties=species:S:1:pos:R:3 pbc="T T T"
La 0.000 0.000 0.000
Sn 2.601 2.601 0.000
C 0.000 0.000 2.588
I 0.000 2.601 2.588
I 2.601 0.000 2.588
```

Calculated values
space group = P4/mmm
calculated volume = 140 Å³/cell
total magnetic moment = 0.00 μB/f.u.
final energy = -3.832 eV per atom
ΔE_f (raw) = 0.419 eV per atom
DOS at the Fermi energy = 0.83 states/eV per atom

3.
This record from Alexandria via LeMat-Bulk describes an optimized crystal structure of LaTbCI. The functional is PBE.

Structure (extended XYZ):
```
4
Lattice="1.924 1.111 7.791 -1.924 1.111 7.791 0.000 -2.222 7.791" Properties=species:S:1:pos:R:3 pbc="T T T"
La 0.000 0.000 0.000
Tb 0.000 0.000 5.095
C 0.000 0.000 14.097
I 0.000 0.000 18.280
```

Calculated values
space group = R3m
calculated volume = 100 Å³/cell
total magnetic moment = 0.00 μB/f.u.
final energy = -5.811 eV per atom
ΔE_f (raw) = -0.728 eV per atom
DOS at the Fermi energy = 0.60 states/eV per atom

4.
This record from Alexandria via LeMat-Bulk describes an optimized crystal structure of La2TbC2I2. The functional is PBE.

Structure (extended XYZ):
```
7
Lattice="-2.294 2.294 9.612 2.294 -2.294 9.612 2.294 2.294 -9.612" Properties=species:S:1:pos:R:3 pbc="T T T"
La 0.000 0.000 1.594
La 0.000 0.000 17.630
Tb 0.000 0.000 9.612
C 2.294 0.000 0.000
C 0.000 2.294 0.000
I 0.000 0.000 6.369
I 0.000 0.000 12.855
```

Calculated values
space group = I4/mmm
calculated volume = 202 Å³/cell
total magnetic moment = 0.00 μB/f.u.
final energy = -5.729 eV per atom
ΔE_f (raw) = -0.581 eV per atom
DOS at the Fermi energy = 0.25 states/eV per atom

5.
This record from Alexandria via LeMat-Bulk describes an optimized crystal structure of LaTe2CI. The functional is PBE.

Structure (extended XYZ):
```
5
Lattice="4.971 0.000 0.000 0.000 4.971 0.000 0.000 0.000 5.125" Properties=species:S:1:pos:R:3 pbc="T T T"
La 0.000 0.000 0.000
Te 0.000 2.485 2.562
Te 2.485 0.000 2.562
C 2.485 2.485 2.562
I 2.485 2.485 0.000
```

Calculated values
space group = P4/mmm
calculated volume = 127 Å³/cell
total magnetic moment = 0.00 μB/f.u.
final energy = -4.236 eV per atom
ΔE_f (raw) = 0.161 eV per atom
DOS at the Fermi energy = 0.45 states/eV per atom

6.
This record from Alexandria via LeMat-Bulk describes an optimized crystal structure of La4TeCI2. The functional is PBE.

Structure (extended XYZ):
```
8
Lattice="7.844 0.000 0.000 0.000 4.174 0.000 -2.368 0.000 7.799" Properties=species:S:1:pos:R:3 pbc="T T T"
La 1.034 0.000 1.424
La -0.287 2.087 6.274
La 5.763 2.087 1.525
La 4.442 0.000 6.374
Te 3.922 0.000 0.000
C 0.000 2.087 0.000
I -1.184 0.000 3.899
I 2.738 2.087 3.899
```

Calculated values
space group = P2/m
calculated volume = 255 Å³/cell
total magnetic moment = 0.00 μB/f.u.
final energy = -5.404 eV per atom
ΔE_f (raw) = -1.007 eV per atom
DOS at the Fermi energy = 0.30 states/eV per atom